Below is crystalline Dy6C2SI3 at its relaxed geometry, with properties calculated at the PBE-GGA level.

Summary:
Raw total energy: -5.545 eV per atom
ΔE_f (raw): -0.975 eV/atom
Space group: C2/m
Calculated density: 8.2 g cm⁻³

Cell lengths 6.6932, 6.6932, 7.7148 Å; angles 98.32, 98.32, 120.02 degrees
Fractional coordinates of all 12 atoms:
Dy  0.0877  0.4429  0.8286
Dy  0.2019  0.2019  0.1708
Dy  0.4429  0.0877  0.8286
Dy  0.5571  0.9123  0.1714
Dy  0.7981  0.7981  0.8292
Dy  0.9123  0.5571  0.1714
C  0.1667  0.8333  0.0000
C  0.8333  0.1667  0.0000
S  0.5000  0.5000  0.0000
I  0.0000  0.0000  0.5000
I  0.3357  0.6643  0.5000
I  0.6643  0.3357  0.5000

---

Below is crystalline CsPa4CdN8 at its relaxed geometry, with properties calculated at the PBE-GGA level.

Summary:
Raw total energy: -8.478 eV per atom
ΔE_f (raw): -0.881 eV/atom
Space group: R3m
Calculated density: 8.4 g cm⁻³

Cell lengths 6.9811, 6.9811, 6.9811 Å; angles 62.33, 62.33, 62.33 degrees
Fractional coordinates of all 14 atoms:
Cs  0.0000  0.0000  0.0000
Pa  0.1131  0.6256  0.6256
Pa  0.2387  0.2387  0.2387
Pa  0.6256  0.1131  0.6256
Pa  0.6256  0.6256  0.1131
Cd  0.6229  0.6229  0.6229
N  0.3645  0.3645  0.8599
N  0.3645  0.8599  0.3645
N  0.3744  0.3744  0.3744
N  0.4557  0.8620  0.8620
N  0.8448  0.8448  0.8448
N  0.8599  0.3645  0.3645
N  0.8620  0.4557  0.8620
N  0.8620  0.8620  0.4557

---

Below is crystalline Rh3W at its relaxed geometry, with properties calculated at the PBE-GGA level.

Summary:
Raw total energy: -8.708 eV per atom
Calculated formation energy: 0.17 eV/f.u.
Space group: Pm-3n
Calculated density: 13.7 g cm⁻³

Cell lengths 4.9267, 4.9267, 4.9267 Å; angles 90.00, 90.00, 90.00 degrees
Fractional coordinates of all 8 atoms:
Rh  0.0000  0.2500  0.5000
Rh  0.0000  0.7500  0.5000
Rh  0.2500  0.5000  0.0000
Rh  0.5000  0.0000  0.2500
Rh  0.5000  0.0000  0.7500
Rh  0.7500  0.5000  0.0000
W  0.0000  0.0000  0.0000
W  0.5000  0.5000  0.5000

---

Below is crystalline NdIn3Pt at its relaxed geometry, with properties calculated at the PBE-GGA level.

Summary:
Distance to the lowest polymorph of the same formula: 0.013 eV/atom
Raw total energy: -4.386 eV per atom
Calculated formation energy: -2.91 eV/f.u.
Space group: Pnma
Calculated density: 9.4 g cm⁻³

Cell lengths 9.0638, 4.5014, 11.8468 Å; angles 90.00, 90.00, 90.00 degrees
Fractional coordinates of all 20 atoms:
Nd  0.1963  0.2500  0.0091
Nd  0.3037  0.7500  0.5091
Nd  0.6963  0.2500  0.4909
Nd  0.8037  0.7500  0.9909
In  0.0644  0.2500  0.5872
In  0.1036  0.7500  0.8141
In  0.1437  0.7500  0.2113
In  0.3563  0.2500  0.7113
In  0.3964  0.2500  0.3141
In  0.4356  0.7500  0.0872
In  0.5644  0.2500  0.9128
In  0.6036  0.7500  0.6859
In  0.6437  0.7500  0.2887
In  0.8563  0.2500  0.7887
In  0.8964  0.2500  0.1859
In  0.9356  0.7500  0.4128
Pt  0.1016  0.2500  0.3553
Pt  0.3985  0.7500  0.8553
Pt  0.6016  0.2500  0.1447
Pt  0.8984  0.7500  0.6447

---

Below is crystalline Cs2TlHgCl4 at its relaxed geometry, with properties calculated at the PBE-GGA level.

Summary:
Raw total energy: -2.666 eV per atom
ΔE_f (raw): -1.196 eV/atom
Space group: Fddd
Calculated density: 3.8 g cm⁻³

Cell lengths 16.8694, 14.8654, 8.9423 Å; angles 86.47, 61.59, 31.94 degrees
Fractional coordinates of all 16 atoms:
Cs  0.0365  0.0365  0.7135
Cs  0.2865  0.2865  0.9635
Cs  0.7135  0.7135  0.0365
Cs  0.9635  0.9635  0.2865
Tl  0.1250  0.1250  0.1250
Tl  0.8750  0.8750  0.8750
Hg  0.3750  0.3750  0.3750
Hg  0.6250  0.6250  0.6250
Cl  0.1338  0.2472  0.3407
Cl  0.2217  0.6593  0.7528
Cl  0.2472  0.1338  0.7783
Cl  0.3407  0.7783  0.1338
Cl  0.6593  0.2217  0.8662
Cl  0.7528  0.8662  0.2217
Cl  0.7783  0.3407  0.2472
Cl  0.8662  0.7528  0.6593

---

Below is crystalline TlRe2Hg at its relaxed geometry, with properties calculated at the PBE-GGA level.

Summary:
Distance to the lowest polymorph of the same formula: 0.923 eV/atom
Raw total energy: -5.520 eV per atom
Calculated formation energy: 5.48 eV/f.u.
Space group: Fm-3m
Calculated density: 18.1 g cm⁻³

Cell lengths 4.6548, 4.6548, 4.6548 Å; angles 60.00, 60.00, 60.00 degrees
Fractional coordinates of all 4 atoms:
Tl  0.0000  0.0000  0.0000
Re  0.2500  0.2500  0.2500
Re  0.7500  0.7500  0.7500
Hg  0.5000  0.5000  0.5000

---

Below is crystalline BeAgOF2 at its relaxed geometry, with properties calculated at the PBE-GGA level.

Summary:
Distance to the lowest polymorph of the same formula: 0.000 eV/atom
Raw total energy: -4.665 eV per atom
ΔE_f (raw): -1.609 eV/atom
Space group: P4/mmm
Calculated density: 5.5 g cm⁻³

Cell lengths 3.2601, 3.2601, 4.8245 Å; angles 90.00, 90.00, 90.00 degrees
Fractional coordinates of all 5 atoms:
Be  0.0000  0.0000  0.0000
Ag  0.5000  0.5000  0.5000
O  0.0000  0.0000  0.5000
F  0.0000  0.5000  0.0000
F  0.5000  0.0000  0.0000

---

Below is crystalline Tc2AgW at its relaxed geometry, with properties calculated at the PBE-GGA level.

Summary:
Distance to the lowest polymorph of the same formula: 0.175 eV/atom
Raw total energy: -8.665 eV per atom
Calculated formation energy: 1.87 eV/f.u.
Space group: Cmmm
Calculated density: 13.0 g cm⁻³

Cell lengths 4.9132, 4.9132, 2.7344 Å; angles 90.00, 90.00, 109.56 degrees
Fractional coordinates of all 4 atoms:
Tc  0.0000  0.5000  0.0000
Tc  0.5000  0.0000  0.0000
Ag  0.0000  0.0000  0.5000
W  0.5000  0.5000  0.5000

---

Below is crystalline Tb2TmThSc4 at its relaxed geometry, with properties calculated at the PBE-GGA level.

Summary:
Raw total energy: -5.766 eV per atom
Calculated formation energy: 0.35 eV/f.u.
Space group: P4/mmm
Calculated density: 6.7 g cm⁻³

Cell lengths 4.9303, 4.9303, 9.1702 Å; angles 90.00, 90.00, 90.00 degrees
Fractional coordinates of all 8 atoms:
Tb  0.0000  0.0000  0.0000
Tb  0.5000  0.5000  0.5000
Tm  0.0000  0.0000  0.5000
Th  0.5000  0.5000  0.0000
Sc  0.0000  0.5000  0.2479
Sc  0.0000  0.5000  0.7521
Sc  0.5000  0.0000  0.2479
Sc  0.5000  0.0000  0.7521

---

Below is crystalline Hf3Te3C at its relaxed geometry, with properties calculated at the PBE-GGA level.

Summary:
Raw total energy: -7.740 eV per atom
ΔE_f (raw): -0.810 eV/atom
Space group: P2_1/m
Calculated density: 9.7 g cm⁻³

Cell lengths 7.9760, 3.6482, 10.9926 Å; angles 90.00, 91.35, 90.00 degrees
Fractional coordinates of all 14 atoms:
Hf  0.0890  0.2500  0.4006
Hf  0.1106  0.2500  0.8174
Hf  0.2945  0.7500  0.6145
Hf  0.7055  0.2500  0.3855
Hf  0.8894  0.7500  0.1826
Hf  0.9110  0.7500  0.5994
Te  0.1484  0.2500  0.1265
Te  0.3770  0.7500  0.8705
Te  0.3833  0.7500  0.3673
Te  0.6167  0.2500  0.6327
Te  0.6230  0.2500  0.1295
Te  0.8516  0.7500  0.8735
C  0.1119  0.2500  0.6127
C  0.8881  0.7500  0.3873

---

Below is crystalline SbRuCl2 at its relaxed geometry, with properties calculated at the PBE-GGA level.

Summary:
Distance to the lowest polymorph of the same formula: 0.483 eV/atom
Raw total energy: -3.966 eV per atom
ΔE_f (raw): 0.307 eV/atom
Space group: C2/m
Calculated density: 6.1 g cm⁻³

Cell lengths 5.2648, 5.2648, 4.2596 Å; angles 111.76, 111.76, 113.46 degrees
Fractional coordinates of all 4 atoms:
Sb  0.0000  0.0000  0.0000
Ru  0.5000  0.5000  0.0000
Cl  0.0000  0.5000  0.5000
Cl  0.5000  0.0000  0.5000

---

Below is crystalline LiYNb2 at its relaxed geometry, with properties calculated at the PBE-GGA level.

Summary:
Distance to the lowest polymorph of the same formula: 0.157 eV/atom
Raw total energy: -6.387 eV per atom
Calculated formation energy: 2.97 eV/f.u.
Space group: Fm-3m
Calculated density: 5.9 g cm⁻³

Cell lengths 4.8266, 4.8266, 4.8266 Å; angles 60.00, 60.00, 60.00 degrees
Fractional coordinates of all 4 atoms:
Li  0.0000  0.0000  0.0000
Y  0.5000  0.5000  0.5000
Nb  0.2500  0.2500  0.2500
Nb  0.7500  0.7500  0.7500

---

What did we get for M_tot? Answer: 0.00; 0.00; 0.00; 0.00; 0.00; 0.00; 0.00; 0.00; 0.00; 0.00; 0.00; 0.00 μB/f.u., in the order shown.